# 1
FeCoSbTe2 PBE optimized geometry; E = -4.29 eV/atom; offset from the most stable computed form = 0.00 eV per formula unit; spin magnetization = 0.466 μB/atom; crystal system = tetragonal; mass density = 6.7 Mg/m³; ΔE_f (raw) = 87 kJ per mole of atoms
1.0
-4.749 -1.056 1.444
0.272 -4.476 -2.376
1.649 -2.001 3.959
Te Sb Co Fe
2 1 1 1
direct
0.000 0.500 0.000 Te
0.500 0.000 0.000 Te
0.000 0.000 0.500 Sb
0.500 0.500 0.500 Co
0.000 0.000 0.000 Fe

# 2
FeCoSb2Te PBE optimized geometry; E = -4.55 eV/atom; offset from the most stable computed form = 0.00 eV per formula unit; spin magnetization = 0.255 μB/atom; crystal system = tetragonal; mass density = 6.7 Mg/m³; ΔE_f (raw) = 81 kJ per mole of atoms
1.0
-0.935 3.043 -3.570
-4.605 0.099 1.290
0.986 4.063 3.205
Sb Te Fe Co
2 1 1 1
direct
0.000 0.500 0.000 Sb
0.500 0.000 0.000 Sb
0.000 0.000 0.500 Te
0.000 0.000 0.000 Fe
0.500 0.500 0.500 Co

# 3
TiFeCoSb2 PBE optimized geometry; E = -5.60 eV/atom; spin magnetization = 0.001 μB/atom; crystal system = tetragonal; mass density = 6.9 Mg/m³; ΔE_f (raw) = 72 kJ per mole of atoms
1.0
-1.136 -0.990 -4.593
-2.521 -3.084 1.288
-3.688 3.116 0.241
Sb Fe Co Ti
2 1 1 1
direct
0.500 0.000 0.000 Sb
0.000 0.000 0.500 Sb
0.000 0.500 0.000 Fe
0.000 0.000 0.000 Co
0.500 0.500 0.500 Ti

# 4
TiFeCoSb PBE optimized geometry; E = -7.20 eV/atom; spin magnetization = 0.500 μB/atom; crystal system = cubic; mass density = 8.4 Mg/m³; ΔE_f (raw) = -29 kJ per mole of atoms
1.0
4.294 0.000 0.000
2.147 3.719 0.000
2.147 1.240 3.506
Sb Fe Co Ti
1 1 1 1
direct
0.000 0.000 0.000 Sb
0.250 0.250 0.250 Fe
0.750 0.750 0.750 Co
0.500 0.500 0.500 Ti

# 5
VFeCoSb PBE optimized geometry; E = -7.21 eV/atom; spin magnetization = 0.755 μB/atom; crystal system = cubic; mass density = 8.8 Mg/m³; ΔE_f (raw) = -1 kJ per mole of atoms
1.0
-0.716 3.924 1.445
-2.375 0.584 3.466
1.805 1.292 3.615
Fe Co V Sb
1 1 1 1
direct
0.250 0.250 0.250 Fe
0.750 0.750 0.750 Co
0.500 0.500 0.500 V
0.000 0.000 0.000 Sb

# 6
ScFeCo10 PBE optimized geometry; E = -7.07 eV/atom; energy of formation = 0.09 eV per atom; spin magnetization = 1.577 μB/atom; crystal system = orthorhombic; mass density = 7.5 Mg/m³
1.0
4.016 0.000 0.000
0.000 4.680 0.000
0.000 0.000 8.099
Co Fe Sc
10 1 1
direct
0.500 0.000 0.500 Co
0.000 0.000 0.345 Co
0.000 0.000 0.655 Co
0.500 0.500 0.000 Co
0.000 0.500 0.186 Co
0.500 0.750 0.252 Co
0.000 0.500 0.814 Co
0.500 0.750 0.748 Co
0.500 0.250 0.252 Co
0.500 0.250 0.748 Co
0.000 0.500 0.500 Fe
0.000 0.000 0.000 Sc